First-principles (PBE) data for BaMgRh3 after structural relaxation, as listed in Alexandria.

Cell lengths 5.063, 5.063, 5.063 Å; angles 90.00, 90.00, 90.00 degrees
Fractional positions:
Ba1 0.000 0.000 0.000
Mg1 0.500 0.500 0.500
Rh1 0.000 0.000 0.500
Rh2 0.000 0.500 0.000
Rh3 0.500 0.000 0.000

Summary:
Its symmetry is Pm-3m. The relative energy among the computed polymorphs comes out at 100.0 kJ/mol of atoms. The calculation puts the formation energy at 34.07 kcal/mol of atoms. Its crystal system is cubic.


First-principles (PBE) data for BaSr6Tl after structural relaxation, as listed in Alexandria.

Cell lengths 4.440, 9.534, 9.534 Å; angles 89.90, 90.00, 90.00 degrees
Fractional positions:
Ba1 0.000 0.000 0.000
Sr1 0.000 0.573 0.573
Sr2 0.000 0.573 0.997
Sr3 0.000 0.997 0.573
Sr4 0.500 0.291 0.780
Sr5 0.500 0.292 0.292
Sr6 0.500 0.780 0.291
Tl1 0.500 0.779 0.779

Summary:
Its symmetry is Amm2. The relative energy among the computed polymorphs comes out at 0.0 kJ/mol of atoms. The calculation puts the formation energy at -1.84 kcal/mol of atoms. Its crystal system is orthorhombic.


First-principles (PBE) data for Dy2Al6FeCo after structural relaxation, as listed in Alexandria.

Cell lengths 6.369, 6.369, 6.369 Å; angles 60.00, 60.00, 60.00 degrees
Fractional positions:
Dy1 0.250 0.250 0.250
Dy2 0.750 0.750 0.750
Al1 0.250 0.250 0.750
Al2 0.250 0.750 0.250
Al3 0.250 0.750 0.750
Al4 0.750 0.250 0.250
Al5 0.750 0.250 0.750
Al6 0.750 0.750 0.250
Fe1 0.000 0.000 0.000
Co1 0.500 0.500 0.500

Summary:
Its symmetry is Fm-3m. The calculation puts the formation energy at -7.48 kcal/mol of atoms. Its crystal system is cubic.


First-principles (PBE) data for PmSm5DyTm2 after structural relaxation, as listed in Alexandria.

Cell lengths 10.478, 10.478, 10.669 Å; angles 90.00, 90.00, 148.85 degrees
Fractional positions:
Pm1 0.201 0.799 0.500
Pm2 0.799 0.201 0.000
Sm1 0.017 0.983 0.513
Sm2 0.281 0.719 0.798
Sm3 0.298 0.702 0.195
Sm4 0.392 0.608 0.515
Sm5 0.479 0.521 0.230
Sm6 0.521 0.479 0.730
Sm7 0.608 0.392 0.015
Sm8 0.702 0.298 0.695
Sm9 0.719 0.281 0.298
Sm10 0.983 0.017 0.013
Dy1 0.412 0.588 0.945
Dy2 0.588 0.412 0.445
Tm1 0.110 0.890 0.228
Tm2 0.115 0.885 0.807
Tm3 0.885 0.115 0.307
Tm4 0.890 0.110 0.728

Summary:
Its symmetry is Cmc2_1. The calculation puts the formation energy at 3.49 kcal/mol of atoms. Its crystal system is orthorhombic.


First-principles (PBE) data for CaTbPrTh after structural relaxation, as listed in Alexandria.

Cell lengths 5.809, 5.809, 5.809 Å; angles 60.00, 60.00, 60.00 degrees
Fractional positions:
Ca1 0.000 0.000 0.000
Tb1 0.750 0.750 0.750
Pr1 0.250 0.250 0.250
Th1 0.500 0.500 0.500

Summary:
Its symmetry is F-43m. The calculation puts the formation energy at 5.22 kcal/mol of atoms. Its crystal system is cubic.


First-principles (PBE) data for Na3LaEr2Se6 after structural relaxation, as listed in Alexandria.

Cell lengths 7.279, 7.279, 7.413 Å; angles 99.45, 99.45, 120.01 degrees
Fractional positions:
Na1 0.000 0.000 0.000
Na2 0.335 0.665 0.000
Na3 0.665 0.335 0.000
La1 0.500 0.500 0.500
Er1 0.167 0.833 0.500
Er2 0.833 0.167 0.500
Se1 0.076 0.423 0.270
Se2 0.230 0.230 0.731
Se3 0.423 0.076 0.270
Se4 0.577 0.924 0.730
Se5 0.770 0.770 0.269
Se6 0.924 0.577 0.730

Summary:
Its symmetry is C2/m. The formation energy without anion corrections comes out at -1715.0 meV/atom. Its crystal system is monoclinic.


First-principles (PBE) data for Ta5Nb2Fe2Mo after structural relaxation, as listed in Alexandria.

Cell lengths 10.253, 10.253, 3.240 Å; angles 90.00, 90.00, 90.00 degrees
Fractional positions:
Ta1 0.000 0.500 0.000
Ta2 0.063 0.205 0.000
Ta3 0.205 0.937 0.000
Ta4 0.295 0.437 0.000
Ta5 0.437 0.705 0.000
Ta6 0.500 0.000 0.000
Ta7 0.563 0.295 0.000
Ta8 0.705 0.563 0.000
Ta9 0.795 0.063 0.000
Ta10 0.937 0.795 0.000
Nb1 0.176 0.676 0.500
Nb2 0.324 0.176 0.500
Nb3 0.676 0.824 0.500
Nb4 0.824 0.324 0.500
Fe1 0.127 0.373 0.500
Fe2 0.373 0.873 0.500
Fe3 0.627 0.127 0.500
Fe4 0.873 0.627 0.500
Mo1 0.000 0.000 0.500
Mo2 0.500 0.500 0.500

Summary:
Its symmetry is P4/mbm. The calculation puts the formation energy at 0.32 kcal/mol of atoms. Its crystal system is tetragonal.


First-principles (PBE) data for Hg5Pb3S12 after structural relaxation, as listed in Alexandria.

Cell lengths 13.858, 13.858, 13.858 Å; angles 109.47, 109.47, 109.47 degrees
Fractional positions:
Hg1 0.000 0.000 0.000
Hg2 0.000 0.000 0.500
Hg3 0.000 0.500 0.000
Hg4 0.000 0.500 0.500
Hg5 0.125 0.750 0.875
Hg6 0.125 0.875 0.250
Hg7 0.250 0.125 0.875
Hg8 0.250 0.625 0.375
Hg9 0.375 0.250 0.625
Hg10 0.375 0.625 0.750
Hg11 0.500 0.000 0.000
Hg12 0.500 0.000 0.500
Hg13 0.500 0.500 0.000
Hg14 0.500 0.500 0.500
Hg15 0.625 0.375 0.250
Hg16 0.625 0.750 0.375
Hg17 0.750 0.375 0.625
Hg18 0.750 0.875 0.125
Hg19 0.875 0.125 0.750
Hg20 0.875 0.250 0.125
Pb1 0.125 0.250 0.375
Pb2 0.125 0.375 0.750
Pb3 0.250 0.375 0.125
Pb4 0.250 0.875 0.625
Pb5 0.375 0.125 0.250
Pb6 0.375 0.750 0.125
Pb7 0.625 0.250 0.875
Pb8 0.625 0.875 0.750
Pb9 0.750 0.125 0.375
Pb10 0.750 0.625 0.875
Pb11 0.875 0.625 0.250
Pb12 0.875 0.750 0.625
S1 0.045 0.216 0.135
S2 0.045 0.329 0.910
S3 0.081 0.716 0.671
S4 0.081 0.865 0.410
S5 0.090 0.635 0.419
S6 0.090 0.955 0.671
S7 0.135 0.045 0.216
S8 0.135 0.590 0.919
S9 0.171 0.216 0.581
S10 0.171 0.455 0.590
S11 0.216 0.135 0.045
S12 0.216 0.581 0.171
S13 0.284 0.329 0.919
S14 0.284 0.455 0.365
S15 0.329 0.910 0.045
S16 0.329 0.919 0.284
S17 0.365 0.284 0.455
S18 0.365 0.581 0.910
S19 0.410 0.081 0.865
S20 0.410 0.829 0.545
S21 0.419 0.090 0.635
S22 0.419 0.829 0.784
S23 0.455 0.365 0.284
S24 0.455 0.590 0.171
S25 0.545 0.410 0.829
S26 0.545 0.635 0.716
S27 0.581 0.171 0.216
S28 0.581 0.910 0.365
S29 0.590 0.171 0.455
S30 0.590 0.919 0.135
S31 0.635 0.419 0.090
S32 0.635 0.716 0.545
S33 0.671 0.081 0.716
S34 0.671 0.090 0.955
S35 0.716 0.545 0.635
S36 0.716 0.671 0.081
S37 0.784 0.419 0.829
S38 0.784 0.865 0.955
S39 0.829 0.545 0.410
S40 0.829 0.784 0.419
S41 0.865 0.410 0.081
S42 0.865 0.955 0.784
S43 0.910 0.045 0.329
S44 0.910 0.365 0.581
S45 0.919 0.135 0.590
S46 0.919 0.284 0.329
S47 0.955 0.671 0.090
S48 0.955 0.784 0.865

Summary:
Its symmetry is Ia-3d. The formation energy without anion corrections comes out at 177.0 meV/atom. Its crystal system is cubic.


no.,total moment (μB/cell),N(E_F) (states/eV/cell),total DFT energy (no corrections) (Ry per atom)
1,0.000,4.57,-0.2673
2,0.000,8.36,-0.1380
3,0.001,4.63,-0.3709
4,0.000,28.42,-0.3310
5,0.507,8.53,-0.3294
6,0.000,0.00,-0.3644
7,0.000,15.79,-0.7866
8,0.000,81.39,-0.2154